Entry A
## AlTlP2S (PBE)

Data for a relaxed structure of AlTlP2S.

Its crystal system is tetragonal.

abc: 4.785 4.785 4.754
angles: 90.00 90.00 90.00
Space group P4/mmm (No. 123)
Asymmetric unit:
Al: 0.000 0.000 0.000
Tl: 0.500 0.500 0.500
P: 0.000 0.500 0.000
S: 0.000 0.000 0.500

***

Entry B
## AlTlP2S (PBE)

Data for a relaxed structure of AlTlP2S.

Its crystal system is tetragonal.

abc: 4.775 4.775 4.660
angles: 90.00 90.00 90.00
Space group P4/mmm (No. 123)
Asymmetric unit:
Al: 0.000 0.000 0.000
Tl: 0.500 0.500 0.000
P: 0.000 0.500 0.500
S: 0.000 0.000 0.500

***

Tell me which of them is the least stable. Sure, it is entry B.

***

Entry A
## AlVP2S (PBE)

Data for a relaxed structure of AlVP2S.

Its crystal system is tetragonal.

abc: 4.627 4.627 4.457
angles: 90.00 90.00 90.00
Space group P4/mmm (No. 123)
Asymmetric unit:
Al: 0.000 0.000 0.000
V: 0.500 0.500 0.500
P: 0.000 0.500 0.500
S: 0.500 0.500 0.000

***

Entry B
## AlVP2S (PBE)

Data for a relaxed structure of AlVP2S.

Its crystal system is tetragonal.

abc: 4.557 4.557 4.579
angles: 90.00 90.00 90.00
Space group P4/mmm (No. 123)
Asymmetric unit:
Al: 0.000 0.000 0.000
V: 0.500 0.500 0.500
P: 0.000 0.500 0.000
S: 0.000 0.000 0.500

***

Tell me which of them is the least stable. Sure, it is entry B.

***

Entry A
## AlVPS2 (PBE)

Data for a relaxed structure of AlVPS2.

Its crystal system is tetragonal.

abc: 4.594 4.594 4.566
angles: 90.00 90.00 90.00
Space group P4/mmm (No. 123)
Asymmetric unit:
Al: 0.000 0.000 0.000
V: 0.500 0.500 0.500
P: 0.000 0.000 0.500
S: 0.000 0.500 0.000

***

Entry B
## AlVPS2 (PBE)

Data for a relaxed structure of AlVPS2.

Its crystal system is tetragonal.

abc: 4.522 4.522 4.726
angles: 90.00 90.00 90.00
Space group P4/mmm (No. 123)
Asymmetric unit:
Al: 0.000 0.000 0.000
V: 0.500 0.500 0.500
P: 0.500 0.500 0.000
S: 0.000 0.500 0.500

***

Tell me which of them is the least stable. Sure, it is entry A.

***

Entry A
## AlPWS2 (PBE)

Data for a relaxed structure of AlPWS2.

Its crystal system is tetragonal.

abc: 4.691 4.691 4.810
angles: 90.00 90.00 90.00
Space group P4/mmm (No. 123)
Asymmetric unit:
Al: 0.000 0.000 0.000
P: 0.500 0.500 0.000
W: 0.500 0.500 0.500
S: 0.000 0.500 0.500

***

Entry B
## AlPWS2 (PBE)

Data for a relaxed structure of AlPWS2.

Its crystal system is tetragonal.

abc: 4.496 4.496 4.566
angles: 90.00 90.00 90.00
Space group P4/mmm (No. 123)
Asymmetric unit:
Al: 0.000 0.000 0.000
P: 0.000 0.000 0.500
W: 0.500 0.500 0.500
S: 0.000 0.500 0.000

***

Tell me which of them is the least stable. Sure, it is entry B.

***

Entry A
## AlZnPS2 (PBE)

Data for a relaxed structure of AlZnPS2.

Its crystal system is tetragonal.

abc: 4.598 4.598 4.872
angles: 90.00 90.00 90.00
Space group P4/mmm (No. 123)
Asymmetric unit:
Al: 0.000 0.000 0.000
Zn: 0.000 0.000 0.500
P: 0.500 0.500 0.000
S: 0.000 0.500 0.500

***

Entry B
## AlZnPS2 (PBE)

Data for a relaxed structure of AlZnPS2.

Its crystal system is tetragonal.

abc: 4.572 4.572 4.783
angles: 90.00 90.00 90.00
Space group P4/mmm (No. 123)
Asymmetric unit:
Al: 0.000 0.000 0.000
Zn: 0.500 0.500 0.500
P: 0.000 0.000 0.500
S: 0.000 0.500 0.000

***

Tell me which of them is the least stable. Sure, it is entry A.

***

Entry A
## ZrAlPS2 (PBE)

Data for a relaxed structure of ZrAlPS2.

Its crystal system is tetragonal.

abc: 4.955 4.955 5.154
angles: 90.00 90.00 90.00
Space group P4/mmm (No. 123)
Asymmetric unit:
Zr: 0.000 0.000 0.000
Al: 0.500 0.500 0.500
P: 0.000 0.000 0.500
S: 0.000 0.500 0.000

***

Entry B
## ZrAlPS2 (PBE)

Data for a relaxed structure of ZrAlPS2.

Its crystal system is tetragonal.

abc: 4.505 4.505 4.699
angles: 90.00 90.00 90.00
Space group P4/mmm (No. 123)
Asymmetric unit:
Zr: 0.000 0.000 0.000
Al: 0.500 0.500 0.500
P: 0.500 0.500 0.000
S: 0.000 0.500 0.500

***

Tell me which of them is the least stable. Sure, it is entry A.

***

Entry A
## Al3SbP (PBE)

Data for a relaxed structure of Al3SbP.

Its crystal system is cubic.

abc: 5.220 5.220 5.220
angles: 90.00 90.00 90.00
Space group Pm-3m (No. 221)
Asymmetric unit:
Al: 0.000 0.000 0.500
Sb: 0.000 0.000 0.000
P: 0.500 0.500 0.500

***

Entry B
## Al3SbP (PBE)

Data for a relaxed structure of Al3SbP.

Its crystal system is cubic.

abc: 4.770 4.770 4.770
angles: 90.00 90.00 90.00
Space group Pm-3m (No. 221)
Asymmetric unit:
Al: 0.000 0.000 0.500
Sb: 0.500 0.500 0.500
P: 0.000 0.000 0.000

***

Tell me which of them is the least stable. Sure, it is entry A.

***

Entry A
## AlSbTe2P (PBE)

Data for a relaxed structure of AlSbTe2P.

Its crystal system is tetragonal.

abc: 5.386 5.386 5.063
angles: 90.00 90.00 90.00
Space group P4/mmm (No. 123)
Asymmetric unit:
Al: 0.000 0.000 0.000
Sb: 0.500 0.500 0.000
Te: 0.000 0.500 0.500
P: 0.500 0.500 0.500

***

Entry B
## AlSbTe2P (PBE)

Data for a relaxed structure of AlSbTe2P.

Its crystal system is tetragonal.

abc: 5.205 5.205 5.283
angles: 90.00 90.00 90.00
Space group P4/mmm (No. 123)
Asymmetric unit:
Al: 0.000 0.000 0.000
Sb: 0.000 0.000 0.500
Te: 0.000 0.500 0.000
P: 0.500 0.500 0.500

***

Tell me which of them is the least stable. Sure, it is entry B.

***

Entry A
## AlSb2TeP (PBE)

Data for a relaxed structure of AlSb2TeP.

Its crystal system is tetragonal.

abc: 5.243 5.243 5.160
angles: 90.00 90.00 90.00
Space group P4/mmm (No. 123)
Asymmetric unit:
Al: 0.000 0.000 0.000
Sb: 0.000 0.500 0.000
Te: 0.000 0.000 0.500
P: 0.500 0.500 0.500

***

Entry B
## AlSb2TeP (PBE)

Data for a relaxed structure of AlSb2TeP.

Its crystal system is tetragonal.

abc: 5.164 5.164 5.404
angles: 90.00 90.00 90.00
Space group P4/mmm (No. 123)
Asymmetric unit:
Al: 0.000 0.000 0.000
Sb: 0.000 0.500 0.500
Te: 0.500 0.500 0.000
P: 0.500 0.500 0.500

***

Tell me which of them is the least stable. Sure, it is entry A.

***

Entry A
## Sc2AlP2 (PBE)

Data for a relaxed structure of Sc2AlP2.

Its crystal system is tetragonal.

abc: 7.271 7.271 3.457
angles: 90.00 90.00 90.00
Space group P4/mbm (No. 127)
Asymmetric unit:
Sc: 0.145 0.355 0.000
Al: 0.000 0.000 0.000
P: 0.162 0.662 0.500

***

Entry B
## Sc2AlP2 (PBE)

Data for a relaxed structure of Sc2AlP2.

Its crystal system is tetragonal.

abc: 6.943 6.943 3.565
angles: 90.00 90.00 90.00
Space group P4/mbm (No. 127)
Asymmetric unit:
Sc: 0.152 0.348 0.000
Al: 0.000 0.000 0.500
P: 0.154 0.654 0.500

***

Tell me which of them is the least stable. Sure, it is entry A.

***

Entry A
## ScAl3P (PBE)

Data for a relaxed structure of ScAl3P.

Its crystal system is cubic.

abc: 5.230 5.230 5.230
angles: 90.00 90.00 90.00
Space group Pm-3m (No. 221)
Asymmetric unit:
Sc: 0.000 0.000 0.000
Al: 0.000 0.000 0.500
P: 0.500 0.500 0.500

***

Entry B
## ScAl3P (PBE)

Data for a relaxed structure of ScAl3P.

Its crystal system is cubic.

abc: 4.703 4.703 4.703
angles: 90.00 90.00 90.00
Space group Pm-3m (No. 221)
Asymmetric unit:
Sc: 0.000 0.000 0.000
Al: 0.000 0.500 0.500
P: 0.500 0.500 0.500

***

Tell me which of them is the least stable. Sure, it is entry A.

***

Entry A
## AlPSe2 (PBE)

Data for a relaxed structure of AlPSe2.

Its crystal system is tetragonal.

abc: 6.804 6.804 7.432
angles: 90.00 90.00 90.00
Space group I-42d (No. 122)
Asymmetric unit:
Al: 0.000 0.000 0.000
P: 0.000 0.000 0.500
Se: 0.234 0.250 0.125

***

Entry B
## AlPSe2 (PBE)

Data for a relaxed structure of AlPSe2.

Its crystal system is tetragonal.

abc: 3.128 3.128 8.363
angles: 90.00 90.00 90.00
Space group P4mm (No. 99)
Asymmetric unit:
Al: 0.000 0.000 0.000
P: 0.500 0.500 0.158
Se: 0.000 0.000 0.382
Se: 0.500 0.500 0.811

***

Tell me which of them is the least stable. Sure, it is entry B.

***

Entry A
## AlPSe2 (PBE)

Data for a relaxed structure of AlPSe2.

Its crystal system is monoclinic.

abc: 15.624 3.364 3.570
angles: 90.00 101.76 90.00
Space group Cm (No. 8)
Asymmetric unit:
Al: 0.000 0.000 0.000
P: 0.358 0.000 0.893
Se: 0.059 0.500 0.555
Se: 0.307 0.500 0.282

***

Entry B
## AlPSe2 (PBE)

Data for a relaxed structure of AlPSe2.

Its crystal system is orthorhombic.

abc: 7.340 9.004 6.171
angles: 90.00 90.00 90.00
Space group Pna2_1 (No. 33)
Asymmetric unit:
Al: 0.034 0.112 0.000
P: 0.196 0.452 0.528
Se: 0.030 0.845 0.887
Se: 0.212 0.345 0.870

***

Tell me which of them is the least stable. Sure, it is entry A.

***

Entry A
## AlPSe2 (PBE)

Data for a relaxed structure of AlPSe2.

Its crystal system is orthorhombic.

abc: 3.592 7.255 7.175
angles: 90.00 90.00 90.00
Space group Cmmm (No. 65)
Asymmetric unit:
Al: 0.000 0.000 0.000
P: 0.000 0.000 0.500
Se: 0.000 0.500 0.247

***

Entry B
## AlPSe2 (PBE)

Data for a relaxed structure of AlPSe2.

Its crystal system is trigonal.

abc: 3.6224 3.6224 23.7630
angles: 90.00 90.00 120.00
Space group R-3m (No. 166, hexagonal axes)
Asymmetric unit:
Al: 0.0000 0.0000 0.0000
P: 0.0000 0.0000 0.5000
Se: 0.0000 0.0000 0.3945

***

Tell me which of them is the least stable. Sure, it is entry A.